Material: K2Dy4Au4Se9
Method: DFT, PBE-GGA
State: relaxed

Unit cell a=7.6220 b=7.6220 c=16.8684 alpha=108.03 beta=108.03 gamma=32.44
With the nearest neighbours (Å) after each atom.
Atoms (fractional coordinates):
Se: 0.6119 0.6119 0.1423  2 Au 2.60-2.71
Se: 0.2938 0.2938 0.5941  1 Au 2.63, 2 Dy 2.90
Se: 0.1401 0.1401 0.9170  2 Au 2.60
Se: 0.0000 0.0000 0.5000  4 Dy 3.01
Se: 0.3730 0.3730 0.2750  2 Au 2.60, 1 Dy 2.89
Se: 0.8599 0.8599 0.0830  2 Au 2.60
Se: 0.3881 0.3881 0.8577  2 Au 2.60-2.71
Se: 0.6270 0.6270 0.7250  2 Au 2.60, 1 Dy 2.89
Se: 0.7062 0.7062 0.4059  1 Au 2.63, 2 Dy 2.90
Dy: 0.3478 0.3478 0.4380  6 Se 2.89-3.01
Dy: 0.7698 0.7698 0.8934  6 Se 2.93-3.04, 2 Au 3.19
Dy: 0.6522 0.6522 0.5620  6 Se 2.89-3.01
Dy: 0.2302 0.2302 0.1066  6 Se 2.93-3.04, 2 Au 3.19
Au: 0.2273 0.2273 0.7216  4 Se 2.60-2.71
Au: 0.5932 0.5932 0.9839  3 Se 2.60
Au: 0.4068 0.4068 0.0161  3 Se 2.60
Au: 0.7727 0.7727 0.2784  4 Se 2.60-2.71
K: 0.9552 0.9552 0.7243  7 Se 3.29-3.50
K: 0.0448 0.0448 0.2757  7 Se 3.29-3.50

Summary:
VASP energy (eV per atom): -4.61